--- 1 ---
Compound: BaTeAsBr2
Source: Alexandria
Functional: PBE
Structure: optimized geometry Values from VASP.

Geometry as Quantum ESPRESSO input:
```
&SYSTEM
  ibrav = 0, nat = 5, ntyp = 4
/
ATOMIC_SPECIES
As 74.92 As.upf
Te 127.60 Te.upf
Ba 137.33 Ba.upf
Br 79.90 Br.upf
CELL_PARAMETERS angstrom
5.744 0.000 0.000
0.000 5.744 0.000
0.000 0.000 5.492
ATOMIC_POSITIONS angstrom
As 0.000 0.000 2.746
Te 0.000 0.000 0.000
Ba 2.872 2.872 2.746
Br 0.000 2.872 0.000
Br 2.872 0.000 0.000
```

Computed properties:
Spin magnetization in Bohr magnetons per cell: 0.00
Symmetry: P4/mmm, No. 123

***

--- 2 ---
Compound: BaTeAsBr2
Source: Alexandria
Functional: PBE
Structure: optimized geometry Values from VASP.

Geometry as Quantum ESPRESSO input:
```
&SYSTEM
  ibrav = 0, nat = 5, ntyp = 4
/
ATOMIC_SPECIES
As 74.92 As.upf
Te 127.60 Te.upf
Ba 137.33 Ba.upf
Br 79.90 Br.upf
CELL_PARAMETERS angstrom
6.072 0.000 0.000
0.000 6.072 0.000
0.000 0.000 6.950
ATOMIC_POSITIONS angstrom
As 0.000 0.000 3.475
Te 3.036 3.036 3.475
Ba 0.000 0.000 0.000
Br 0.000 3.036 0.000
Br 3.036 0.000 0.000
```

Computed properties:
Spin magnetization in Bohr magnetons per cell: 2.25
Symmetry: P4/mmm, No. 123

***

Top of the stability list: 1, leading by 418 meV per atom.

***

--- 1 ---
Compound: BaTlAsBr2
Source: Alexandria
Functional: PBE
Structure: optimized geometry Values from VASP.

Geometry as Quantum ESPRESSO input:
```
&SYSTEM
  ibrav = 0, nat = 5, ntyp = 4
/
ATOMIC_SPECIES
As 74.92 As.upf
Tl 204.38 Tl.upf
Ba 137.33 Ba.upf
Br 79.90 Br.upf
CELL_PARAMETERS angstrom
5.825 0.000 0.000
0.000 5.825 0.000
0.000 0.000 5.448
ATOMIC_POSITIONS angstrom
As 0.000 0.000 2.724
Tl 0.000 0.000 0.000
Ba 2.912 2.912 2.724
Br 0.000 2.912 0.000
Br 2.912 0.000 0.000
```

Computed properties:
Spin magnetization in Bohr magnetons per cell: 0.76
Symmetry: P4/mmm, No. 123

***

--- 2 ---
Compound: BaTlAsBr2
Source: Alexandria
Functional: PBE
Structure: optimized geometry Values from VASP.

Geometry as Quantum ESPRESSO input:
```
&SYSTEM
  ibrav = 0, nat = 5, ntyp = 4
/
ATOMIC_SPECIES
As 74.92 As.upf
Tl 204.38 Tl.upf
Ba 137.33 Ba.upf
Br 79.90 Br.upf
CELL_PARAMETERS angstrom
-4.918 2.557 -2.895
-3.186 -5.335 0.700
-2.280 2.115 5.742
ATOMIC_POSITIONS angstrom
As -1.140 1.058 2.871
Tl -5.192 -0.331 1.774
Ba 0.000 0.000 0.000
Br -1.593 -2.667 0.350
Br -2.459 1.279 -1.447
```

Computed properties:
Spin magnetization in Bohr magnetons per cell: 2.00
Symmetry: P4/mmm, No. 123

***

Top of the stability list: 1, leading by 38 meV per atom.

***

--- 1 ---
Compound: BaYAs2Br
Source: Alexandria
Functional: PBE
Structure: optimized geometry Values from VASP.

Geometry as Quantum ESPRESSO input:
```
&SYSTEM
  ibrav = 0, nat = 5, ntyp = 4
/
ATOMIC_SPECIES
Y 88.91 Y.upf
As 74.92 As.upf
Ba 137.33 Ba.upf
Br 79.90 Br.upf
CELL_PARAMETERS angstrom
-1.914 3.539 -4.114
0.766 -4.143 -3.920
-5.385 -1.856 0.908
ATOMIC_POSITIONS angstrom
Y -3.266 -1.230 -3.563
As 0.383 -2.071 -1.960
As -0.957 1.769 -2.057
Ba 0.000 0.000 0.000
Br -2.693 -0.928 0.454
```

Computed properties:
Spin magnetization in Bohr magnetons per cell: 0.01
Symmetry: P4/mmm, No. 123

***

--- 2 ---
Compound: BaYAs2Br
Source: Alexandria
Functional: PBE
Structure: optimized geometry Values from VASP.

Geometry as Quantum ESPRESSO input:
```
&SYSTEM
  ibrav = 0, nat = 5, ntyp = 4
/
ATOMIC_SPECIES
Y 88.91 Y.upf
As 74.92 As.upf
Ba 137.33 Ba.upf
Br 79.90 Br.upf
CELL_PARAMETERS angstrom
-0.932 5.313 0.629
-5.045 -1.085 1.690
1.869 -0.310 5.379
ATOMIC_POSITIONS angstrom
Y 0.000 0.000 0.000
As -2.523 -0.542 0.845
As -0.466 2.656 0.315
Ba -2.054 1.959 3.849
Br 0.934 -0.155 2.689
```

Computed properties:
Spin magnetization in Bohr magnetons per cell: 0.00
Symmetry: P4/mmm, No. 123

***

Top of the stability list: 2, leading by 1165 meV per atom.

***

--- 1 ---
Compound: Ba2AsC
Source: Alexandria
Functional: PBE
Structure: optimized geometry Values from VASP.

Geometry as Quantum ESPRESSO input:
```
&SYSTEM
  ibrav = 0, nat = 4, ntyp = 3
/
ATOMIC_SPECIES
C 12.01 C.upf
As 74.92 As.upf
Ba 137.33 Ba.upf
CELL_PARAMETERS angstrom
0.000 3.910 3.910
3.910 0.000 3.910
3.910 3.910 0.000
ATOMIC_POSITIONS angstrom
C 0.000 0.000 0.000
As 3.910 3.910 3.910
Ba 1.955 1.955 1.955
Ba 5.865 5.865 5.865
```

Computed properties:
Spin magnetization in Bohr magnetons per cell: 3.00
Symmetry: Fm-3m, No. 225

***

--- 2 ---
Compound: Ba2AsC
Source: Alexandria
Functional: PBE
Structure: optimized geometry Values from VASP.

Geometry as Quantum ESPRESSO input:
```
&SYSTEM
  ibrav = 0, nat = 8, ntyp = 3
/
ATOMIC_SPECIES
C 12.01 C.upf
As 74.92 As.upf
Ba 137.33 Ba.upf
CELL_PARAMETERS angstrom
-0.459 -4.514 6.616
-5.254 -4.832 -3.662
0.317 -7.058 0.070
ATOMIC_POSITIONS angstrom
C -2.857 -4.673 1.477
C -3.897 -8.281 -1.057
As 0.000 0.000 0.000
As -1.500 -8.123 4.081
Ba -0.845 -5.002 3.419
Ba -3.281 -5.537 -1.168
Ba -2.124 -9.000 1.007
Ba -4.542 -13.270 2.790
```

Computed properties:
Spin magnetization in Bohr magnetons per cell: 4.97
Symmetry: I-42d, No. 122

***

Top of the stability list: 1, leading by 68 meV per atom.

***

--- 1 ---
Compound: BaAsC3
Source: Alexandria
Functional: PBE
Structure: optimized geometry Values from VASP.

Geometry as Quantum ESPRESSO input:
```
&SYSTEM
  ibrav = 0, nat = 5, ntyp = 3
/
ATOMIC_SPECIES
C 12.01 C.upf
As 74.92 As.upf
Ba 137.33 Ba.upf
CELL_PARAMETERS angstrom
4.798 0.000 0.000
0.000 4.798 0.000
0.000 0.000 4.798
ATOMIC_POSITIONS angstrom
C 0.000 2.399 0.000
C 0.000 0.000 2.399
C 2.399 0.000 0.000
As 2.399 2.399 2.399
Ba 0.000 0.000 0.000
```

Computed properties:
Spin magnetization in Bohr magnetons per cell: 2.08
Symmetry: Pm-3m, No. 221

***

--- 2 ---
Compound: BaAsC3
Source: Alexandria
Functional: PBE
Structure: optimized geometry Values from VASP.

Geometry as Quantum ESPRESSO input:
```
&SYSTEM
  ibrav = 0, nat = 5, ntyp = 3
/
ATOMIC_SPECIES
C 12.01 C.upf
As 74.92 As.upf
Ba 137.33 Ba.upf
CELL_PARAMETERS angstrom
-3.123 1.523 2.350
-2.706 -2.548 -1.945
0.721 -2.964 2.879
ATOMIC_POSITIONS angstrom
C -1.353 -1.274 -0.973
C 0.361 -1.482 1.440
C -1.562 0.761 1.175
As 0.000 0.000 0.000
Ba -2.554 -1.995 1.642
```

Computed properties:
Spin magnetization in Bohr magnetons per cell: 0.00
Symmetry: Pm-3m, No. 221

***

Top of the stability list: 2, leading by 1779 meV per atom.

***

--- 1 ---
Compound: BaAs2CSe
Source: Alexandria
Functional: PBE
Structure: optimized geometry Values from VASP.

Geometry as Quantum ESPRESSO input:
```
&SYSTEM
  ibrav = 0, nat = 5, ntyp = 4
/
ATOMIC_SPECIES
C 12.01 C.upf
As 74.92 As.upf
Ba 137.33 Ba.upf
Se 78.96 Se.upf
CELL_PARAMETERS angstrom
6.540 0.000 0.000
0.000 6.540 0.000
0.000 0.000 6.243
ATOMIC_POSITIONS angstrom
C 3.270 3.270 3.122
As 0.000 3.270 0.000
As 3.270 0.000 0.000
Ba 0.000 0.000 0.000
Se 0.000 0.000 3.122
```

Computed properties:
Spin magnetization in Bohr magnetons per cell: 4.02
Symmetry: P4/mmm, No. 123

***

--- 2 ---
Compound: BaAs2CSe
Source: Alexandria
Functional: PBE
Structure: optimized geometry Values from VASP.

Geometry as Quantum ESPRESSO input:
```
&SYSTEM
  ibrav = 0, nat = 5, ntyp = 4
/
ATOMIC_SPECIES
C 12.01 C.upf
As 74.92 As.upf
Ba 137.33 Ba.upf
Se 78.96 Se.upf
CELL_PARAMETERS angstrom
-1.152 -1.744 -3.912
-3.931 -3.601 2.763
-3.148 3.091 -0.451
ATOMIC_POSITIONS angstrom
C 0.000 0.000 0.000
As -1.574 1.546 -0.225
As -0.576 -0.872 -1.956
Ba -1.966 -1.800 1.381
Se -4.116 -1.127 -0.800
```

Computed properties:
Spin magnetization in Bohr magnetons per cell: 0.00
Symmetry: P4/mmm, No. 123

***

Top of the stability list: 2, leading by 1950 meV per atom.

***

--- 1 ---
Compound: BaAsCSe2
Source: Alexandria
Functional: PBE
Structure: optimized geometry Values from VASP.

Geometry as Quantum ESPRESSO input:
```
&SYSTEM
  ibrav = 0, nat = 5, ntyp = 4
/
ATOMIC_SPECIES
C 12.01 C.upf
As 74.92 As.upf
Ba 137.33 Ba.upf
Se 78.96 Se.upf
CELL_PARAMETERS angstrom
6.188 0.000 0.000
0.000 6.188 0.000
0.000 0.000 6.590
ATOMIC_POSITIONS angstrom
C 3.094 3.094 3.295
As 0.000 0.000 3.295
Ba 0.000 0.000 0.000
Se 0.000 3.094 0.000
Se 3.094 0.000 0.000
```

Computed properties:
Spin magnetization in Bohr magnetons per cell: 0.08
Symmetry: P4/mmm, No. 123

***

--- 2 ---
Compound: BaAsCSe2
Source: Alexandria
Functional: PBE
Structure: optimized geometry Values from VASP.

Geometry as Quantum ESPRESSO input:
```
&SYSTEM
  ibrav = 0, nat = 5, ntyp = 4
/
ATOMIC_SPECIES
C 12.01 C.upf
As 74.92 As.upf
Ba 137.33 Ba.upf
Se 78.96 Se.upf
CELL_PARAMETERS angstrom
5.237 0.000 0.000
0.000 5.237 0.000
0.000 0.000 4.157
ATOMIC_POSITIONS angstrom
C 0.000 0.000 0.000
As 0.000 0.000 2.079
Ba 2.618 2.618 2.079
Se 0.000 2.618 0.000
Se 2.618 0.000 0.000
```

Computed properties:
Spin magnetization in Bohr magnetons per cell: 0.00
Symmetry: P4/mmm, No. 123

***

Top of the stability list: 2, leading by 1722 meV per atom.

***

--- 1 ---
Compound: BaCaAs
Source: Alexandria
Functional: PBE
Structure: optimized geometry Values from VASP.

Geometry as Quantum ESPRESSO input:
```
&SYSTEM
  ibrav = 0, nat = 3, ntyp = 3
/
ATOMIC_SPECIES
As 74.92 As.upf
Ca 40.08 Ca.upf
Ba 137.33 Ba.upf
CELL_PARAMETERS angstrom
-1.870 -3.057 -6.617
1.741 -4.468 -5.800
-1.575 -3.525 0.889
ATOMIC_POSITIONS angstrom
As -1.552 -3.588 0.680
Ca -0.694 -5.961 -7.214
Ba -1.032 -5.026 -4.106
```

Computed properties:
Spin magnetization in Bohr magnetons per cell: 0.73
Symmetry: I4mm, No. 107

***

--- 2 ---
Compound: BaCaAs
Source: Alexandria
Functional: PBE
Structure: optimized geometry Values from VASP.

Geometry as Quantum ESPRESSO input:
```
&SYSTEM
  ibrav = 0, nat = 3, ntyp = 3
/
ATOMIC_SPECIES
As 74.92 As.upf
Ca 40.08 Ca.upf
Ba 137.33 Ba.upf
CELL_PARAMETERS angstrom
-4.375 -0.280 3.220
-3.526 -4.105 -0.553
-0.316 -3.849 3.831
ATOMIC_POSITIONS angstrom
As -4.109 -4.117 3.249
Ca 0.000 0.000 0.000
Ba -6.163 -6.175 4.873
```

Computed properties:
Spin magnetization in Bohr magnetons per cell: 0.00
Symmetry: F-43m, No. 216

***

Top of the stability list: 1, leading by 603 meV per atom.